1.
# Cs4PrTh3Te8 PBE optimized geometry
# raw formation energy = -1.23 eV per atom
data_Cs4PrTh3Te8
_symmetry_space_group_name_H-M 'R -3 m'
_symmetry_Int_Tables_number 166
_symmetry_space_group_name_Hall '-R 3 2"'
_cell_length_a 9.1397
_cell_length_b 9.1397
_cell_length_c 27.3427
_cell_angle_alpha 90.00
_cell_angle_beta 90.00
_cell_angle_gamma 120.00
loop_
_atom_site_label
_atom_site_type_symbol
_atom_site_fract_x
_atom_site_fract_y
_atom_site_fract_z
_atom_site_occupancy
Cs1 Cs 0.0000 0.0000 0.0000 1
Cs2 Cs 0.0000 0.5000 0.0000 1
Pr1 Pr 0.0000 0.0000 0.5000 1
Th1 Th 0.0000 0.5000 0.5000 1
Te1 Te 0.0000 0.0000 0.2331 1
Te2 Te 0.0047 0.5024 0.7668 1

=====

2.
# La2MgHg PBE optimized geometry
# formation enthalpy at 0 K = -0.14 eV/atom
# offset from the most stable computed form = 3.95 kcal/mol of atoms
data_La2MgHg
_symmetry_space_group_name_H-M 'R -3 m'
_symmetry_Int_Tables_number 166
_symmetry_space_group_name_Hall '-R 3 2"'
_cell_length_a 3.7519
_cell_length_b 3.7519
_cell_length_c 31.5502
_cell_angle_alpha 90.00
_cell_angle_beta 90.00
_cell_angle_gamma 120.00
loop_
_atom_site_label
_atom_site_type_symbol
_atom_site_fract_x
_atom_site_fract_y
_atom_site_fract_z
_atom_site_occupancy
La1 La 0.0000 0.0000 0.2472 1
Mg1 Mg 0.0000 0.0000 0.0000 1
Hg1 Hg 0.0000 0.0000 0.5000 1

=====

3.
# La4PmSm6 PBE optimized geometry
# formation enthalpy at 0 K = 0.16 eV/atom
# offset from the most stable computed form = 0.00 kcal/mol of atoms
data_La4PmSm6
_symmetry_space_group_name_H-M 'P -6 m 2'
_symmetry_Int_Tables_number 187
_symmetry_space_group_name_Hall 'P -6 2'
_cell_length_a 11.1176
_cell_length_b 11.1176
_cell_length_c 3.6553
_cell_angle_alpha 90.00
_cell_angle_beta 90.00
_cell_angle_gamma 120.00
loop_
_atom_site_label
_atom_site_type_symbol
_atom_site_fract_x
_atom_site_fract_y
_atom_site_fract_z
_atom_site_occupancy
La1 La 0.0000 0.0000 0.0000 1
La2 La 0.5086 0.0173 0.5000 1
Pm1 Pm 0.6667 0.3333 0.0000 1
Sm1 Sm 0.1964 0.3928 0.0000 1
Sm2 Sm 0.2960 0.1480 0.5000 1

=====

4.
# YMg2Hg PBE optimized geometry
# formation enthalpy at 0 K = -0.12 eV/atom
data_YMg2Hg
_symmetry_space_group_name_H-M 'I 4/m m m'
_symmetry_Int_Tables_number 139
_symmetry_space_group_name_Hall '-I 4 2'
_cell_length_a 4.5224
_cell_length_b 4.5224
_cell_length_c 9.7983
_cell_angle_alpha 90.00
_cell_angle_beta 90.00
_cell_angle_gamma 90.00
loop_
_atom_site_label
_atom_site_type_symbol
_atom_site_fract_x
_atom_site_fract_y
_atom_site_fract_z
_atom_site_occupancy
Y1 Y 0.0000 0.0000 0.0000 1
Mg1 Mg 0.0000 0.5000 0.2500 1
Hg1 Hg 0.0000 0.0000 0.5000 1

=====

5.
# LiTaPb PBE optimized geometry
# formation enthalpy at 0 K = 0.37 eV/atom
# offset from the most stable computed form = 0.00 kcal/mol of atoms
data_LiTaPb
_symmetry_space_group_name_H-M 'P 3 m 1'
_symmetry_Int_Tables_number 156
_symmetry_space_group_name_Hall 'P 3 -2"'
_cell_length_a 3.1074
_cell_length_b 3.1074
_cell_length_c 7.5753
_cell_angle_alpha 90.00
_cell_angle_beta 90.00
_cell_angle_gamma 120.00
loop_
_atom_site_label
_atom_site_type_symbol
_atom_site_fract_x
_atom_site_fract_y
_atom_site_fract_z
_atom_site_occupancy
Li1 Li 0.0000 0.0000 0.0000 1
Ta1 Ta 0.6667 0.3333 0.6737 1
Pb1 Pb 0.3333 0.6667 0.3374 1

=====

6.
# Rb3Ac3SbO8 PBE optimized geometry
# raw formation energy = -2.28 eV per atom
data_Rb3Ac3SbO8
_symmetry_space_group_name_H-M 'R -3 m'
_symmetry_Int_Tables_number 166
_symmetry_space_group_name_Hall '-R 3 2"'
_cell_length_a 7.5032
_cell_length_b 7.5032
_cell_length_c 20.1100
_cell_angle_alpha 90.00
_cell_angle_beta 90.00
_cell_angle_gamma 120.00
loop_
_atom_site_label
_atom_site_type_symbol
_atom_site_fract_x
_atom_site_fract_y
_atom_site_fract_z
_atom_site_occupancy
Rb1 Rb 0.0000 0.5000 0.0000 1
Ac1 Ac 0.0000 0.5000 0.5000 1
Sb1 Sb 0.0000 0.0000 0.5000 1
O1 O 0.0000 0.0000 0.2278 1
O2 O 0.0460 0.5230 0.2224 1

=====

7.
# NaZn2CoGe PBE optimized geometry
# formation enthalpy at 0 K = -0.04 eV/atom
data_NaZn2CoGe
_symmetry_space_group_name_H-M 'P 4/m m m'
_symmetry_Int_Tables_number 123
_symmetry_space_group_name_Hall '-P 4 2'
_cell_length_a 4.6838
_cell_length_b 4.6838
_cell_length_c 4.4111
_cell_angle_alpha 90.00
_cell_angle_beta 90.00
_cell_angle_gamma 90.00
loop_
_atom_site_label
_atom_site_type_symbol
_atom_site_fract_x
_atom_site_fract_y
_atom_site_fract_z
_atom_site_occupancy
Na1 Na 0.0000 0.0000 0.0000 1
Zn1 Zn 0.0000 0.5000 0.5000 1
Co1 Co 0.5000 0.5000 0.5000 1
Ge1 Ge 0.5000 0.5000 0.0000 1

=====

8.
# BiHBr3 PBE optimized geometry
# offset from the most stable computed form = 16.26 kcal/mol of atoms
data_BiHBr3
_symmetry_space_group_name_H-M 'P m -3 m'
_symmetry_Int_Tables_number 221
_symmetry_space_group_name_Hall '-P 4 2 3'
_cell_length_a 4.7855
_cell_length_b 4.7855
_cell_length_c 4.7855
_cell_angle_alpha 90.00
_cell_angle_beta 90.00
_cell_angle_gamma 90.00
loop_
_atom_site_label
_atom_site_type_symbol
_atom_site_fract_x
_atom_site_fract_y
_atom_site_fract_z
_atom_site_occupancy
Bi1 Bi 0.0000 0.0000 0.0000 1
H1 H 0.5000 0.5000 0.5000 1
Br1 Br 0.0000 0.5000 0.5000 1

=====

9.
# LaZnB PBE optimized geometry
# formation enthalpy at 0 K = 0.47 eV/atom
# offset from the most stable computed form = 17.91 kcal/mol of atoms
data_LaZnB
_symmetry_space_group_name_H-M 'P 63/m m c'
_symmetry_Int_Tables_number 194
_symmetry_space_group_name_Hall '-P 6c 2c'
_cell_length_a 3.7528
_cell_length_b 3.7528
_cell_length_c 10.6059
_cell_angle_alpha 90.00
_cell_angle_beta 90.00
_cell_angle_gamma 120.00
loop_
_atom_site_label
_atom_site_type_symbol
_atom_site_fract_x
_atom_site_fract_y
_atom_site_fract_z
_atom_site_occupancy
La1 La 0.0000 0.0000 0.0000 1
Zn1 Zn 0.3333 0.6667 0.2500 1
B1 B 0.0000 0.0000 0.2500 1

=====

10.
# Tb2Nd2Tm3 PBE optimized geometry
# formation enthalpy at 0 K = 0.14 eV/atom
# offset from the most stable computed form = 0.00 kcal/mol of atoms
data_Tb2Nd2Tm3
_symmetry_space_group_name_H-M 'C 1 2/m 1'
_symmetry_Int_Tables_number 12
_symmetry_space_group_name_Hall '-C 2y'
_cell_length_a 16.7258
_cell_length_b 3.4960
_cell_length_c 8.7053
_cell_angle_alpha 90.00
_cell_angle_beta 116.43
_cell_angle_gamma 90.00
loop_
_atom_site_label
_atom_site_type_symbol
_atom_site_fract_x
_atom_site_fract_y
_atom_site_fract_z
_atom_site_occupancy
Tb1 Tb 0.1395 0.0000 0.4066 1
Nd1 Nd 0.0803 0.5000 0.7030 1
Tm1 Tm 0.0000 0.5000 0.0000 1
Tm2 Tm 0.2201 0.5000 0.1459 1

=====

11.
# Na2HgPtN PBE optimized geometry
# offset from the most stable computed form = 0.00 kcal/mol of atoms
# raw formation energy = -0.18 eV per atom
data_Na2HgPtN
_symmetry_space_group_name_H-M 'P 4/m m m'
_symmetry_Int_Tables_number 123
_symmetry_space_group_name_Hall '-P 4 2'
_cell_length_a 5.1772
_cell_length_b 5.1772
_cell_length_c 3.7836
_cell_angle_alpha 90.00
_cell_angle_beta 90.00
_cell_angle_gamma 90.00
loop_
_atom_site_label
_atom_site_type_symbol
_atom_site_fract_x
_atom_site_fract_y
_atom_site_fract_z
_atom_site_occupancy
Na1 Na 0.0000 0.5000 0.0000 1
Hg1 Hg 0.0000 0.0000 0.5000 1
Pt1 Pt 0.5000 0.5000 0.5000 1
N1 N 0.5000 0.5000 0.0000 1

=====

12.
# Dy4HgRh PBE optimized geometry
# formation enthalpy at 0 K = -0.36 eV/atom
# offset from the most stable computed form = 4.35 kcal/mol of atoms
data_Dy4HgRh
_symmetry_space_group_name_H-M 'P 1 21/c 1'
_symmetry_Int_Tables_number 14
_symmetry_space_group_name_Hall '-P 2ybc'
_cell_length_a 7.3026
_cell_length_b 7.0036
_cell_length_c 6.8974
_cell_angle_alpha 90.00
_cell_angle_beta 92.47
_cell_angle_gamma 90.00
loop_
_atom_site_label
_atom_site_type_symbol
_atom_site_fract_x
_atom_site_fract_y
_atom_site_fract_z
_atom_site_occupancy
Dy1 Dy 0.1432 0.1563 0.1745 1
Dy2 Dy 0.3174 0.6475 0.1294 1
Hg1 Hg 0.5000 0.0000 0.0000 1
Rh1 Rh 0.0000 0.0000 0.5000 1